(1)
Material: Mn3AsCl
Method: DFT, PBEsol
State: relaxed

Results
* energy relative to the elements, uncorrected: 749.9 meV/atom
* symmetry: Pm-3m
* raw total energy: -6.530 eV/atom
* size of the total moment: 1.476 μB/atom

Structure (POSCAR):
```
Mn3AsCl
1.0
4.167 0.000 0.000
0.000 4.167 0.000
0.000 0.000 4.167
Mn Cl As
3 1 1
direct
0.000 0.500 0.000 Mn
0.500 0.000 0.000 Mn
0.000 0.000 0.500 Mn
0.000 0.000 0.000 Cl
0.500 0.500 0.500 As
```

(2)
Material: Zn2MoBr
Method: DFT, PBEsol
State: relaxed

Results
* energy relative to the elements, uncorrected: 436.4 meV/atom
* symmetry: P4/mmm
* raw total energy: -3.764 eV/atom
* size of the total moment: 0.119 μB/atom

Structure (POSCAR):
```
Zn2MoBr
1.0
-2.614 0.403 1.971
-1.989 -0.038 -2.631
-0.566 -6.200 0.517
Br Zn Mo
1 2 1
direct
0.500 0.500 0.000 Br
0.000 0.000 0.293 Zn
0.000 0.000 0.707 Zn
0.500 0.500 0.500 Mo
```

(3)
Material: Ca2CrWCl
Method: DFT, PBEsol
State: relaxed

Results
* energy relative to the elements, uncorrected: 726.7 meV/atom
* symmetry: P4/mmm
* raw total energy: -5.338 eV/atom
* size of the total moment: 0.201 μB/atom

Structure (POSCAR):
```
Ca2CrWCl
1.0
-0.851 -4.178 -0.649
3.751 -1.419 4.215
-4.297 0.268 3.914
Cr Ca W Cl
1 2 1 1
direct
0.500 0.000 0.000 Cr
0.000 0.500 0.000 Ca
0.000 0.000 0.500 Ca
0.000 0.000 0.000 W
0.500 0.500 0.500 Cl
```

(4)
Material: Tl3Cd
Method: DFT, PBEsol
State: relaxed

Results
* energy relative to the elements: 0.07 eV per atom
* symmetry: Pm-3n
* raw total energy: -2.202 eV/atom
* size of the total moment: 0.000 μB/atom

Structure (POSCAR):
```
Tl3Cd
1.0
-4.598 -3.811 -0.705
1.128 -0.268 -5.901
3.708 -4.644 0.920
Tl Cd
6 2
direct
0.500 0.000 0.750 Tl
0.000 0.750 0.500 Tl
0.250 0.500 0.000 Tl
0.500 0.000 0.250 Tl
0.000 0.250 0.500 Tl
0.750 0.500 0.000 Tl
0.000 0.000 0.000 Cd
0.500 0.500 0.500 Cd
```

(5)
Material: Co2CuPb
Method: DFT, PBEsol
State: relaxed

Results
* energy relative to the elements: 0.76 eV per atom
* symmetry: R-3m
* raw total energy: -5.196 eV/atom
* size of the total moment: 0.606 μB/atom

Structure (POSCAR):
```
Co2CuPb
1.0
-1.514 -0.813 -2.465
-2.850 -0.925 0.225
-3.825 6.504 -1.628
Pb Co Cu
1 2 1
direct
0.000 0.000 0.000 Pb
0.758 0.758 0.726 Co
0.242 0.242 0.274 Co
0.500 0.500 0.500 Cu
```

(6)
Material: Li2MgRh
Method: DFT, PBEsol
State: relaxed

Results
* energy relative to the elements: -0.10 eV per atom
* symmetry: Pm
* raw total energy: -3.546 eV/atom
* size of the total moment: 0.001 μB/atom

Structure (POSCAR):
```
Li2MgRh
1.0
-2.484 0.984 0.933
-1.583 -0.491 -3.701
-0.417 -5.379 0.892
Li Mg Rh
2 1 1
direct
0.453 0.500 0.225 Li
0.965 0.000 0.992 Li
0.017 0.000 0.541 Mg
0.565 0.500 0.742 Rh
```

Please write out number 1 again, unchanged.
Material: Mn3AsCl
Method: DFT, PBEsol
State: relaxed

Results
* energy relative to the elements, uncorrected: 749.9 meV/atom
* symmetry: Pm-3m
* raw total energy: -6.530 eV/atom
* size of the total moment: 1.476 μB/atom

Structure (POSCAR):
```
Mn3AsCl
1.0
4.167 0.000 0.000
0.000 4.167 0.000
0.000 0.000 4.167
Mn Cl As
3 1 1
direct
0.000 0.500 0.000 Mn
0.500 0.000 0.000 Mn
0.000 0.000 0.500 Mn
0.000 0.000 0.000 Cl
0.500 0.500 0.500 As
```

- What is the raw total energy in the second record?
  -3.764 eV/atom